# 1
A plane-wave DFT calculation with PBE-GGA was carried out for a relaxed Ta2CdIn crystal.

Unit cell a=2.9137 b=2.9137 c=9.1604 alpha=90.00 beta=90.00 gamma=93.90
Closest atoms and distances in Å follow each position.
Element x y z (fractional)
In: 0.5000 0.5000 0.7500  4 In 2.91, 8 Ta 3.03-3.12
Ta: 0.0000 0.0000 0.9994  4 Ta 2.91, 4 In 3.03-3.12, 4 Cd 3.04-3.13
Ta: 0.0000 0.0000 0.5006  4 Ta 2.91, 4 In 3.03-3.12, 4 Cd 3.04-3.13
Cd: 0.5000 0.5000 0.2500  4 Cd 2.91, 8 Ta 3.04-3.13

Calculated values
Calculated density = 12.61 g/cm³
Energy of formation from the pure elements = 0.283 eV per atom
Total DFT energy (no corrections) = -6.56 eV/atom
DOS at the Fermi energy = 0.77 states/eV per atom
Space-group type = Cmmm

***

# 2
A plane-wave DFT calculation with PBE-GGA was carried out for a relaxed Ta4CdIn crystal.

Unit cell a=5.5706 b=5.5706 c=5.5706 alpha=60.00 beta=60.00 gamma=60.00
Closest atoms and distances in Å follow each position.
Element x y z (fractional)
Ta: 0.3750 0.8750 0.3750  6 Ta 2.79
Ta: 0.3750 0.3750 0.3750  6 Ta 2.79
Ta: 0.3750 0.3750 0.8750  6 Ta 2.79
Ta: 0.8750 0.3750 0.3750  6 Ta 2.79
In: 0.0000 0.0000 0.0000  12 Ta 3.27, 4 Cd 3.41
Cd: 0.7500 0.7500 0.7500  12 Ta 3.27, 4 In 3.41

Calculated values
Calculated density = 12.92 g/cm³
Energy of formation from the pure elements = 0.453 eV per atom
Total DFT energy (no corrections) = -8.06 eV/atom
DOS at the Fermi energy = 0.79 states/eV per atom
Space-group type = F-43m

***

# 3
A plane-wave DFT calculation with PBE-GGA was carried out for a relaxed Ta2CdIn crystal.

Unit cell a=3.6540 b=3.6540 c=5.8632 alpha=90.00 beta=90.00 gamma=90.00
Closest atoms and distances in Å follow each position.
Element x y z (fractional)
Ta: 0.0000 0.0000 0.9899  2 Ta 2.81-3.05, 4 In 2.94, 4 Cd 3.00
Ta: 0.0000 0.0000 0.5101  2 Ta 2.81-3.05, 4 In 2.94, 4 Cd 3.00
Cd: 0.5000 0.5000 0.2500  2 In 2.93, 8 Ta 3.00
In: 0.5000 0.5000 0.7500  2 Cd 2.93, 8 Ta 2.94

Calculated values
Calculated density = 12.50 g/cm³
Energy of formation from the pure elements = 0.487 eV per atom
Total DFT energy (no corrections) = -6.35 eV/atom
DOS at the Fermi energy = 0.66 states/eV per atom
Space-group type = P4/mmm

***

Question: Among the records above, which one has the lowest calculated density?
Answer: number 3